Entry 1:
{
  "formula": "AcTeH2",
  "functional": "PBE-GGA",
  "state": "relaxed",
  "cell": [[-4.009, 1.347, -0.281], [1.378, -3.691, -5.360], [-1.921, -5.087, 3.009]],
  "species": ["Ac", "Ac", "H", "H", "H", "H", "Te", "Te"],
  "frac_coords": [[0.820, 0.640, 0.250], [0.180, 0.360, 0.750], [0.725, 0.450, 0.573], [0.275, 0.550, 0.073], [0.275, 0.550, 0.427], [0.725, 0.450, 0.927], [0.464, 0.928, 0.750], [0.536, 0.072, 0.250]],
  "mass_density_g_cm3": 7.130,
  "dft_energy_ev_per_fu": -16.64,
  "total_magnetization_mub_per_atom": 0.00,
  "e_above_lowest_polymorph_ev_per_atom": 0.000
}

---

Entry 2:
{
  "formula": "Ac2TeH",
  "functional": "PBE-GGA",
  "state": "relaxed",
  "cell": [[-3.536, 1.279, 1.882], [-0.869, -1.255, 3.917], [2.287, 6.229, 4.759]],
  "species": ["Ac", "Ac", "H", "Te"],
  "frac_coords": [[0.734, 0.734, 0.797], [0.266, 0.266, 0.203], [0.000, 0.000, 0.000], [0.500, 0.500, 0.500]],
  "mass_density_g_cm3": 8.105,
  "dft_energy_ev_per_fu": -17.84,
  "total_magnetization_mub_per_atom": 0.10,
  "e_above_lowest_polymorph_ev_per_atom": 0.066
}

---

Entry 3:
{
  "formula": "AcTe2H",
  "functional": "PBE-GGA",
  "state": "relaxed",
  "cell": [[3.652, 0.000, 0.000], [1.826, 3.163, 0.000], [1.826, 1.054, 9.662]],
  "species": ["Ac", "H", "Te", "Te"],
  "frac_coords": [[0.000, 0.000, 0.000], [0.500, 0.500, 0.500], [0.112, 0.112, 0.664], [0.888, 0.888, 0.336]],
  "mass_density_g_cm3": 7.188,
  "dft_energy_ev_per_fu": -11.85,
  "total_magnetization_mub_per_atom": 0.00
}

---

Entry 4:
{
  "formula": "Ac2ThH",
  "functional": "PBE-GGA",
  "state": "relaxed",
  "cell": [[-0.549, -2.289, 2.827], [3.587, 0.132, 0.803], [-1.475, 7.054, 5.425]],
  "species": ["H", "Th", "Ac", "Ac"],
  "frac_coords": [[0.500, 0.500, 0.000], [0.500, 0.500, 0.500], [0.000, 0.000, 0.205], [0.000, 0.000, 0.795]],
  "mass_density_g_cm3": 9.348,
  "dft_energy_ev_per_fu": -18.30,
  "total_magnetization_mub_per_atom": 0.00,
  "e_above_lowest_polymorph_ev_per_atom": 0.015
}

---

Entry 5:
{
  "formula": "Ac3Th5H12",
  "functional": "PBE-GGA",
  "state": "relaxed",
  "cell": [[-0.976, 1.613, -11.983], [-1.091, -11.800, 2.594], [-8.763, 6.208, 5.642]],
  "species": ["H", "H", "H", "H", "H", "H", "H", "H", "H", "H", "H", "H", "H", "H", "H", "H", "H", "H", "H", "H", "H", "H", "H", "H", "H", "H", "H", "H", "H", "H", "H", "H", "H", "H", "H", "H", "H", "H", "H", "H", "H", "H", "H", "H", "H", "H", "H", "H", "Ac", "Ac", "Ac", "Ac", "Ac", "Ac", "Ac", "Ac", "Ac", "Ac", "Ac", "Ac", "Th", "Th", "Th", "Th", "Th", "Th", "Th", "Th", "Th", "Th", "Th", "Th", "Th", "Th", "Th", "Th", "Th", "Th", "Th", "Th"],
  "frac_coords": [[0.417, 0.061, 0.342], [0.645, 0.583, 0.925], [0.158, 0.083, 0.939], [0.417, 0.355, 0.575], [0.939, 0.355, 0.280], [0.658, 0.220, 0.575], [0.939, 0.583, 0.158], [0.720, 0.575, 0.158], [0.561, 0.342, 0.917], [0.575, 0.855, 0.417], [0.439, 0.658, 0.083], [0.075, 0.917, 0.355], [0.075, 0.158, 0.220], [0.425, 0.145, 0.583], [0.280, 0.425, 0.842], [0.658, 0.439, 0.583], [0.917, 0.842, 0.561], [0.439, 0.780, 0.855], [0.083, 0.925, 0.145], [0.561, 0.220, 0.145], [0.842, 0.925, 0.280], [0.583, 0.645, 0.425], [0.342, 0.780, 0.425], [0.280, 0.855, 0.939], [0.575, 0.720, 0.658], [0.925, 0.083, 0.645], [0.645, 0.061, 0.220], [0.583, 0.939, 0.658], [0.855, 0.575, 0.917], [0.145, 0.720, 0.561], [0.720, 0.145, 0.061], [0.061, 0.645, 0.720], [0.220, 0.561, 0.645], [0.061, 0.417, 0.842], [0.780, 0.342, 0.925], [0.425, 0.280, 0.342], [0.342, 0.561, 0.417], [0.842, 0.917, 0.061], [0.083, 0.158, 0.439], [0.145, 0.425, 0.083], [0.220, 0.658, 0.075], [0.780, 0.439, 0.355], [0.355, 0.417, 0.075], [0.917, 0.075, 0.855], [0.355, 0.939, 0.780], [0.158, 0.075, 0.720], [0.925, 0.842, 0.780], [0.855, 0.280, 0.439], [0.125, 0.875, 0.750], [0.750, 0.875, 0.625], [0.125, 0.250, 0.875], [0.875, 0.750, 0.125], [0.625, 0.250, 0.375], [0.375, 0.750, 0.625], [0.625, 0.375, 0.750], [0.750, 0.375, 0.125], [0.250, 0.125, 0.375], [0.375, 0.625, 0.250], [0.250, 0.625, 0.875], [0.875, 0.125, 0.250], [0.750, 0.625, 0.375], [0.500, 0.500, 0.000], [0.000, 0.500, 0.000], [0.750, 0.125, 0.875], [0.500, 0.000, 0.000], [0.500, 0.500, 0.500], [0.875, 0.625, 0.750], [0.625, 0.750, 0.875], [0.625, 0.875, 0.250], [0.375, 0.250, 0.125], [0.250, 0.875, 0.125], [0.500, 0.000, 0.500], [0.000, 0.000, 0.000], [0.250, 0.375, 0.625], [0.125, 0.375, 0.250], [0.375, 0.125, 0.750], [0.875, 0.250, 0.625], [0.125, 0.750, 0.375], [0.000, 0.500, 0.500], [0.000, 0.000, 0.500]],
  "mass_density_g_cm3": 8.958,
  "dft_energy_ev_per_fu": -96.28,
  "total_magnetization_mub_per_atom": 0.00
}

---

Entry 6:
{
  "formula": "AcTh2H",
  "functional": "PBE-GGA",
  "state": "relaxed",
  "cell": [[3.578, 0.000, 0.000], [1.789, 3.099, 0.000], [1.789, 1.033, 10.095]],
  "species": ["Th", "Th", "H", "Ac"],
  "frac_coords": [[0.116, 0.116, 0.651], [0.884, 0.884, 0.349], [0.500, 0.500, 0.500], [0.000, 0.000, 0.000]],
  "mass_density_g_cm3": 10.267,
  "dft_energy_ev_per_fu": -21.85,
  "total_magnetization_mub_per_atom": 0.00
}

---

Entry 7:
{
  "formula": "Ac3ThH8",
  "functional": "PBE-GGA",
  "state": "relaxed",
  "cell": [[-1.786, 4.017, -3.734], [-0.128, -3.957, -4.195], [-5.483, -1.216, 1.314]],
  "species": ["H", "H", "H", "H", "H", "H", "H", "H", "Ac", "Ac", "Ac", "Th"],
  "frac_coords": [[0.764, 0.764, 0.236], [0.764, 0.236, 0.764], [0.236, 0.764, 0.236], [0.764, 0.236, 0.236], [0.236, 0.236, 0.764], [0.236, 0.236, 0.236], [0.764, 0.764, 0.764], [0.236, 0.764, 0.764], [0.500, 0.000, 0.500], [0.000, 0.500, 0.500], [0.500, 0.500, 0.000], [0.000, 0.000, 0.000]],
  "mass_density_g_cm3": 7.971,
  "dft_energy_ev_per_fu": -53.28,
  "total_magnetization_mub_per_atom": 0.00
}

---

Entry 8:
{
  "formula": "AcTh3H",
  "functional": "PBE-GGA",
  "state": "relaxed",
  "cell": [[5.182, 0.000, 0.000], [0.000, 5.182, 0.000], [0.000, 0.000, 5.182]],
  "species": ["H", "Th", "Th", "Th", "Ac"],
  "frac_coords": [[0.000, 0.000, 0.000], [0.500, 0.000, 0.000], [0.000, 0.000, 0.500], [0.000, 0.500, 0.000], [0.500, 0.500, 0.500]],
  "mass_density_g_cm3": 11.028,
  "dft_energy_ev_per_fu": -29.82,
  "total_magnetization_mub_per_atom": 0.00
}

---

Entry 9:
{
  "formula": "AcThH",
  "functional": "PBE-GGA",
  "state": "relaxed",
  "cell": [[-2.208, -2.493, 1.769], [6.745, 2.992, 12.636], [-2.540, 4.578, 3.281]],
  "species": ["Th", "Th", "Th", "Th", "H", "H", "H", "H", "Ac", "Ac", "Ac", "Ac"],
  "frac_coords": [[0.750, 0.037, 0.711], [0.750, 0.537, 0.211], [0.250, 0.963, 0.289], [0.250, 0.463, 0.789], [0.250, 0.607, 0.909], [0.750, 0.393, 0.091], [0.250, 0.107, 0.409], [0.750, 0.893, 0.591], [0.750, 0.705, 0.546], [0.250, 0.295, 0.454], [0.750, 0.205, 0.046], [0.250, 0.795, 0.954]],
  "mass_density_g_cm3": 9.880,
  "dft_energy_ev_per_fu": -15.08,
  "total_magnetization_mub_per_atom": 0.00,
  "e_above_lowest_polymorph_ev_per_atom": 0.000
}

---

Entry 10:
{
  "formula": "AcThH",
  "functional": "PBE-GGA",
  "state": "relaxed",
  "cell": [[3.789, 0.000, 0.000], [-1.895, 3.281, 0.000], [0.000, 0.000, 6.223]],
  "species": ["Ac", "H", "Th"],
  "frac_coords": [[0.000, 0.000, 0.932], [0.333, 0.667, 0.635], [0.667, 0.333, 0.434]],
  "mass_density_g_cm3": 9.873,
  "dft_energy_ev_per_fu": -15.07,
  "total_magnetization_mub_per_atom": 0.00,
  "e_above_lowest_polymorph_ev_per_atom": 0.002
}

---

Entry 11:
{
  "formula": "Ac2ThH",
  "functional": "PBE-GGA",
  "state": "relaxed",
  "cell": [[-2.217, -1.400, -2.598], [-1.329, -3.425, 0.357], [-9.479, 2.140, 4.314]],
  "species": ["Ac", "Ac", "Th", "H"],
  "frac_coords": [[0.114, 0.114, 0.657], [0.886, 0.886, 0.343], [0.000, 0.000, 0.000], [0.500, 0.500, 0.500]],
  "mass_density_g_cm3": 9.281,
  "dft_energy_ev_per_fu": -18.36,
  "total_magnetization_mub_per_atom": 0.00,
  "e_above_lowest_polymorph_ev_per_atom": 0.000
}

---

Entry 12:
{
  "formula": "AcThH4",
  "functional": "PBE-GGA",
  "state": "relaxed",
  "cell": [[3.966, 0.000, 0.002], [0.000, 3.966, 0.003], [-0.002, -0.003, 5.742]],
  "species": ["H", "H", "H", "H", "Th", "Ac"],
  "frac_coords": [[0.501, 0.997, 0.721], [0.501, 0.997, 0.275], [0.001, 0.497, 0.275], [0.001, 0.497, 0.721], [0.001, 0.997, 0.498], [0.501, 0.497, 0.998]],
  "mass_density_g_cm3": 8.515,
  "dft_energy_ev_per_fu": -28.19,
  "total_magnetization_mub_per_atom": 0.00
}

---

Entry 13:
{
  "formula": "Ac2ThH8",
  "functional": "PBE-GGA",
  "state": "relaxed",
  "cell": [[-3.605, 1.055, 0.832], [-0.323, -4.401, 4.183], [3.976, 5.362, 1.529]],
  "species": ["H", "H", "H", "H", "H", "H", "H", "H", "Ac", "Ac", "Th"],
  "frac_coords": [[0.000, 0.238, 0.000], [0.000, 0.762, 0.000], [0.342, 0.601, 0.685], [0.658, 0.917, 0.315], [0.658, 0.399, 0.315], [0.342, 0.083, 0.685], [0.151, 0.151, 0.301], [0.849, 0.849, 0.699], [0.165, 0.665, 0.329], [0.835, 0.335, 0.671], [0.500, 0.000, 0.000]],
  "mass_density_g_cm3": 8.455,
  "dft_energy_ev_per_fu": -48.09,
  "total_magnetization_mub_per_atom": 0.00
}

---

Entry 14:
{
  "formula": "AcTi2H",
  "functional": "PBE-GGA",
  "state": "relaxed",
  "cell": [[3.262, 0.000, 0.000], [1.631, 2.825, 0.000], [1.631, 0.942, 8.302]],
  "species": ["Ac", "Ti", "Ti", "H"],
  "frac_coords": [[0.000, 0.000, 0.000], [0.126, 0.126, 0.622], [0.874, 0.874, 0.378], [0.500, 0.500, 0.500]],
  "mass_density_g_cm3": 7.028,
  "dft_energy_ev_per_fu": -21.84,
  "total_magnetization_mub_per_atom": 0.20
}

---

Entry 15:
{
  "formula": "AcTi2H8",
  "functional": "PBE-GGA",
  "state": "relaxed",
  "cell": [[-1.209, 4.752, 0.262], [-1.238, -0.058, -4.679], [-3.208, -1.008, 3.481]],
  "species": ["H", "H", "H", "H", "H", "H", "H", "H", "Ti", "Ti", "Ac"],
  "frac_coords": [[0.841, 0.566, 0.566], [0.861, 0.064, 0.593], [0.591, 0.281, 0.048], [0.321, 0.593, 0.064], [0.321, 0.064, 0.593], [0.341, 0.566, 0.566], [0.861, 0.593, 0.064], [0.591, 0.048, 0.281], [0.591, 0.734, 0.392], [0.591, 0.392, 0.734], [0.091, 0.065, 0.065]],
  "mass_density_g_cm3": 5.603,
  "dft_energy_ev_per_fu": -51.66,
  "total_magnetization_mub_per_atom": 0.00
}

---

Entry 16:
{
  "formula": "AcTiH",
  "functional": "PBE-GGA",
  "state": "relaxed",
  "cell": [[-0.968, 3.350, 0.180], [-0.722, -1.875, -2.855], [-10.077, -3.159, 4.622]],
  "species": ["H", "H", "Ti", "Ti", "Ac", "Ac"],
  "frac_coords": [[0.278, 0.557, 0.500], [0.611, 0.222, 0.000], [0.277, 0.554, 0.101], [0.277, 0.554, 0.899], [0.611, 0.223, 0.658], [0.611, 0.223, 0.342]],
  "mass_density_g_cm3": 7.530,
  "dft_energy_ev_per_fu": -14.41,
  "total_magnetization_mub_per_atom": 0.39
}

---

Entry 17:
{
  "formula": "Ac2TlH",
  "functional": "PBE-GGA",
  "state": "relaxed",
  "cell": [[-3.034, 2.089, -3.995], [4.151, -3.852, -5.167], [-7.954, -7.813, 1.956]],
  "species": ["Tl", "Tl", "Tl", "Tl", "Ac", "Ac", "Ac", "Ac", "Ac", "Ac", "Ac", "Ac", "H", "H", "H", "H"],
  "frac_coords": [[0.250, 0.797, 0.388], [0.750, 0.203, 0.612], [0.750, 0.297, 0.888], [0.250, 0.703, 0.112], [0.750, 0.483, 0.187], [0.250, 0.140, 0.075], [0.750, 0.640, 0.575], [0.250, 0.517, 0.813], [0.750, 0.860, 0.925], [0.750, 0.017, 0.313], [0.250, 0.360, 0.425], [0.250, 0.983, 0.687], [0.750, 0.129, 0.116], [0.250, 0.629, 0.616], [0.750, 0.371, 0.384], [0.250, 0.871, 0.884]],
  "mass_density_g_cm3": 9.395,
  "dft_energy_ev_per_fu": -15.16,
  "total_magnetization_mub_per_atom": 0.00,
  "e_above_lowest_polymorph_ev_per_atom": 0.064
}

---

Entry 18:
{
  "formula": "Ac4Tl3H",
  "functional": "PBE-GGA",
  "state": "relaxed",
  "cell": [[-5.205, -3.904, 1.676], [3.618, -0.672, 9.668], [-4.511, 6.945, 2.170]],
  "species": ["Tl", "Tl", "Tl", "Tl", "Tl", "Tl", "H", "H", "Ac", "Ac", "Ac", "Ac", "Ac", "Ac", "Ac", "Ac"],
  "frac_coords": [[0.017, 0.665, 0.170], [0.671, 0.881, 0.000], [0.171, 0.119, 0.500], [0.517, 0.335, 0.330], [0.017, 0.665, 0.830], [0.517, 0.335, 0.670], [0.002, 0.201, 0.000], [0.502, 0.799, 0.500], [0.524, 0.658, 0.260], [0.608, 0.198, 0.000], [0.024, 0.342, 0.240], [0.108, 0.802, 0.500], [0.024, 0.342, 0.760], [0.153, 0.969, 0.000], [0.524, 0.658, 0.740], [0.653, 0.031, 0.500]],
  "mass_density_g_cm3": 8.496,
  "dft_energy_ev_per_fu": -27.67,
  "total_magnetization_mub_per_atom": 0.00
}